Record 1
Here is NiSnPC after structural relaxation from Alexandria via LeMat-Bulk. Energies are from PBE.

**Uncorrected energy**: -5.774 eV/atom
**Total magnetization**: 0.00 μB/f.u.
**Energy above the lowest structure with this stoichiometry**: 152 meV/atom
**ΔE_f**: 0.33 eV per atom

```
data_NiSnPC
_chemical_formula_sum 'Ni1 Sn1 P1 C1'
_space_group_name_H-M_alt 'P 1'
_space_group_IT_number 1
_space_group_name_Hall 'P 1'
_cell_length_a 2.9423
_cell_length_b 3.7921
_cell_length_c 6.2575
_cell_angle_alpha 73.35
_cell_angle_beta 76.94
_cell_angle_gamma 89.73
loop_
_atom_site_label
_atom_site_type_symbol
_atom_site_fract_x
_atom_site_fract_y
_atom_site_fract_z
_atom_site_occupancy
Ni1 Ni 0.0000 0.0000 0.0000 1
Sn1 Sn 0.8293 0.3598 0.3242 1
P1 P 0.6088 0.4211 0.7731 1
C1 C 0.0575 0.5849 0.8779 1
```

Record 2
Here is Th4NiPC2 after structural relaxation from Alexandria via LeMat-Bulk. Energies are from PBE.

**Uncorrected energy**: -7.967 eV/atom
**Total magnetization**: 0.00 μB/f.u.
**ΔE_f**: -0.55 eV per atom

```
data_Th4NiPC2
_chemical_formula_sum 'Th4 Ni1 P1 C2'
_space_group_name_H-M_alt 'P 1 2/m 1'
_space_group_IT_number 10
_space_group_name_Hall '-P 2y'
_cell_length_a 6.7356
_cell_length_b 3.8574
_cell_length_c 6.9912
_cell_angle_alpha 90.00
_cell_angle_beta 107.94
_cell_angle_gamma 90.00
loop_
_atom_site_label
_atom_site_type_symbol
_atom_site_fract_x
_atom_site_fract_y
_atom_site_fract_z
_atom_site_occupancy
Th1 Th 0.2370 0.0000 0.2230 1
Th2 Th 0.2579 0.5000 0.7814 1
Ni1 Ni 0.0000 0.0000 0.5000 1
P1 P 0.5000 0.5000 0.5000 1
C1 C 0.0000 0.5000 0.0000 1
C2 C 0.5000 0.0000 0.0000 1
```

Record 3
Here is Tl2NiPC after structural relaxation from Alexandria via LeMat-Bulk. Energies are from PBE.

**Uncorrected energy**: -3.569 eV/atom
**Total magnetization**: 2.46 μB/f.u.
**ΔE_f**: 1.46 eV per atom

```
data_Tl2NiPC
_chemical_formula_sum 'Tl2 Ni1 P1 C1'
_space_group_name_H-M_alt 'P 4/m m m'
_space_group_IT_number 123
_space_group_name_Hall '-P 4 2'
_cell_length_a 5.4598
_cell_length_b 5.4598
_cell_length_c 4.1396
_cell_angle_alpha 90.00
_cell_angle_beta 90.00
_cell_angle_gamma 90.00
loop_
_atom_site_label
_atom_site_type_symbol
_atom_site_fract_x
_atom_site_fract_y
_atom_site_fract_z
_atom_site_occupancy
Tl1 Tl 0.0000 0.5000 0.0000 1
Ni1 Ni 0.0000 0.0000 0.5000 1
P1 P 0.0000 0.0000 0.0000 1
C1 C 0.5000 0.5000 0.5000 1
```

Record 4
Here is VNi2PC after structural relaxation from Alexandria via LeMat-Bulk. Energies are from PBE.

**Uncorrected energy**: -6.694 eV/atom
**Total magnetization**: 1.61 μB/f.u.
**ΔE_f**: 0.37 eV per atom

```
data_VNi2PC
_chemical_formula_sum 'V1 Ni2 P1 C1'
_space_group_name_H-M_alt 'P 4/m m m'
_space_group_IT_number 123
_space_group_name_Hall '-P 4 2'
_cell_length_a 3.6140
_cell_length_b 3.6140
_cell_length_c 4.5932
_cell_angle_alpha 90.00
_cell_angle_beta 90.00
_cell_angle_gamma 90.00
loop_
_atom_site_label
_atom_site_type_symbol
_atom_site_fract_x
_atom_site_fract_y
_atom_site_fract_z
_atom_site_occupancy
V1 V 0.0000 0.0000 0.0000 1
Ni1 Ni 0.0000 0.5000 0.5000 1
P1 P 0.5000 0.5000 0.0000 1
C1 C 0.5000 0.5000 0.5000 1
```

Record 5
Here is Pa2NiC after structural relaxation from Alexandria via LeMat-Bulk. Energies are from PBE.

**Uncorrected energy**: -8.745 eV/atom
**Total magnetization**: 0.00 μB/f.u.
**Energy above the lowest structure with this stoichiometry**: 0 meV/atom
**ΔE_f**: -0.25 eV per atom

```
data_Pa2NiC
_chemical_formula_sum 'Pa6 Ni3 C3'
_space_group_name_H-M_alt 'R -3 m'
_space_group_IT_number 166
_space_group_name_Hall '-R 3 2"'
_cell_length_a 3.4704
_cell_length_b 3.4704
_cell_length_c 20.5997
_cell_angle_alpha 90.00
_cell_angle_beta 90.00
_cell_angle_gamma 120.00
loop_
_atom_site_label
_atom_site_type_symbol
_atom_site_fract_x
_atom_site_fract_y
_atom_site_fract_z
_atom_site_occupancy
Pa1 Pa 0.0000 0.0000 0.2377 1
Ni1 Ni 0.0000 0.0000 0.0000 1
C1 C 0.0000 0.0000 0.5000 1
```

Record 6
Here is PaNiC after structural relaxation from Alexandria via LeMat-Bulk. Energies are from PBE.

**Uncorrected energy**: -8.407 eV/atom
**Total magnetization**: 0.00 μB/f.u.
**Energy above the lowest structure with this stoichiometry**: 57 meV/atom
**ΔE_f**: -0.24 eV per atom

```
data_PaNiC
_chemical_formula_sum 'Pa1 Ni1 C1'
_space_group_name_H-M_alt 'P 3 m 1'
_space_group_IT_number 156
_space_group_name_Hall 'P 3 -2"'
_cell_length_a 3.6441
_cell_length_b 3.6441
_cell_length_c 3.5647
_cell_angle_alpha 90.00
_cell_angle_beta 90.00
_cell_angle_gamma 120.00
loop_
_atom_site_label
_atom_site_type_symbol
_atom_site_fract_x
_atom_site_fract_y
_atom_site_fract_z
_atom_site_occupancy
Pa1 Pa 0.0000 0.0000 0.0000 1
Ni1 Ni 0.3333 0.6667 0.5099 1
C1 C 0.6667 0.3333 0.4644 1
```

Record 7
Here is PaNiC after structural relaxation from Alexandria via LeMat-Bulk. Energies are from PBE.

**Uncorrected energy**: -7.613 eV/atom
**Total magnetization**: 0.39 μB/f.u.
**Energy above the lowest structure with this stoichiometry**: 852 meV/atom
**ΔE_f**: 0.55 eV per atom

```
data_PaNiC
_chemical_formula_sum 'Pa2 Ni2 C2'
_space_group_name_H-M_alt 'I 4 m m'
_space_group_IT_number 107
_space_group_name_Hall 'I 4 -2'
_cell_length_a 2.9682
_cell_length_b 2.9682
_cell_length_c 9.1130
_cell_angle_alpha 90.00
_cell_angle_beta 90.00
_cell_angle_gamma 90.00
loop_
_atom_site_label
_atom_site_type_symbol
_atom_site_fract_x
_atom_site_fract_y
_atom_site_fract_z
_atom_site_occupancy
Pa1 Pa 0.0000 0.0000 0.0000 1
Ni1 Ni 0.0000 0.0000 0.2829 1
C1 C 0.0000 0.0000 0.7007 1
```

Record 8
Here is Pa2NiC after structural relaxation from Alexandria via LeMat-Bulk. Energies are from PBE.

**Uncorrected energy**: -8.608 eV/atom
**Total magnetization**: 0.00 μB/f.u.
**Energy above the lowest structure with this stoichiometry**: 136 meV/atom
**ΔE_f**: -0.11 eV per atom

```
data_Pa2NiC
_chemical_formula_sum 'Pa4 Ni2 C2'
_space_group_name_H-M_alt 'P 1 21/m 1'
_space_group_IT_number 11
_space_group_name_Hall '-P 2yb'
_cell_length_a 5.3764
_cell_length_b 3.4587
_cell_length_c 7.5268
_cell_angle_alpha 90.00
_cell_angle_beta 109.56
_cell_angle_gamma 90.00
loop_
_atom_site_label
_atom_site_type_symbol
_atom_site_fract_x
_atom_site_fract_y
_atom_site_fract_z
_atom_site_occupancy
Pa1 Pa 0.1834 0.2500 0.4289 1
Pa2 Pa 0.2264 0.2500 0.9378 1
Ni1 Ni 0.3968 0.7500 0.2438 1
C1 C 0.3419 0.7500 0.7203 1
```

Record 9
Here is PaNiC after structural relaxation from Alexandria via LeMat-Bulk. Energies are from PBE.

**Uncorrected energy**: -8.465 eV/atom
**Total magnetization**: 0.00 μB/f.u.
**Energy above the lowest structure with this stoichiometry**: 0 meV/atom
**ΔE_f**: -0.30 eV per atom

```
data_PaNiC
_chemical_formula_sum 'Pa4 Ni4 C4'
_space_group_name_H-M_alt 'C 1 2/m 1'
_space_group_IT_number 12
_space_group_name_Hall '-C 2y'
_cell_length_a 7.7588
_cell_length_b 3.6867
_cell_length_c 6.3809
_cell_angle_alpha 90.00
_cell_angle_beta 103.79
_cell_angle_gamma 90.00
loop_
_atom_site_label
_atom_site_type_symbol
_atom_site_fract_x
_atom_site_fract_y
_atom_site_fract_z
_atom_site_occupancy
Pa1 Pa 0.0982 0.0000 0.2891 1
Ni1 Ni 0.1428 0.5000 0.9443 1
C1 C 0.0899 0.5000 0.5671 1
```

Record 10
Here is PaNi2C after structural relaxation from Alexandria via LeMat-Bulk. Energies are from PBE.

**Uncorrected energy**: -7.353 eV/atom
**Total magnetization**: 0.00 μB/f.u.
**ΔE_f**: 0.22 eV per atom

```
data_PaNi2C
_chemical_formula_sum 'Pa3 Ni6 C3'
_space_group_name_H-M_alt 'R -3 m'
_space_group_IT_number 166
_space_group_name_Hall '-R 3 2"'
_cell_length_a 3.6222
_cell_length_b 3.6222
_cell_length_c 13.8280
_cell_angle_alpha 90.00
_cell_angle_beta 90.00
_cell_angle_gamma 120.00
loop_
_atom_site_label
_atom_site_type_symbol
_atom_site_fract_x
_atom_site_fract_y
_atom_site_fract_z
_atom_site_occupancy
Pa1 Pa 0.0000 0.0000 0.0000 1
Ni1 Ni 0.0000 0.0000 0.2111 1
C1 C 0.0000 0.0000 0.5000 1
```

Record 11
Here is Pa2Ni3C after structural relaxation from Alexandria via LeMat-Bulk. Energies are from PBE.

**Uncorrected energy**: -7.859 eV/atom
**Total magnetization**: 0.00 μB/f.u.
**ΔE_f**: -0.27 eV per atom

```
data_Pa2Ni3C
_chemical_formula_sum 'Pa16 Ni24 C8'
_space_group_name_H-M_alt 'F m m m'
_space_group_IT_number 69
_space_group_name_Hall '-F 2 2'
_cell_length_a 6.7288
_cell_length_b 7.8728
_cell_length_c 13.5918
_cell_angle_alpha 90.00
_cell_angle_beta 90.00
_cell_angle_gamma 90.00
loop_
_atom_site_label
_atom_site_type_symbol
_atom_site_fract_x
_atom_site_fract_y
_atom_site_fract_z
_atom_site_occupancy
Pa1 Pa 0.2405 0.0000 0.0000 1
Pa2 Pa 0.2500 0.2500 0.2500 1
Ni1 Ni 0.0000 0.0000 0.1806 1
Ni2 Ni 0.0000 0.2273 0.4092 1
C1 C 0.0000 0.0000 0.3340 1
```

Record 12
Here is Pa2Ni3C2 after structural relaxation from Alexandria via LeMat-Bulk. Energies are from PBE.

**Uncorrected energy**: -7.923 eV/atom
**Total magnetization**: 0.00 μB/f.u.
**ΔE_f**: -0.10 eV per atom

```
data_Pa2Ni3C2
_chemical_formula_sum 'Pa2 Ni3 C2'
_space_group_name_H-M_alt 'P 1 2/m 1'
_space_group_IT_number 10
_space_group_name_Hall '-P 2y'
_cell_length_a 3.5884
_cell_length_b 3.4082
_cell_length_c 8.9472
_cell_angle_alpha 90.00
_cell_angle_beta 101.49
_cell_angle_gamma 90.00
loop_
_atom_site_label
_atom_site_type_symbol
_atom_site_fract_x
_atom_site_fract_y
_atom_site_fract_z
_atom_site_occupancy
Pa1 Pa 0.2057 0.0000 0.2418 1
Ni1 Ni 0.2942 0.5000 0.5825 1
Ni2 Ni 0.5000 0.5000 0.0000 1
C1 C 0.2632 0.5000 0.7957 1
```